Entry from Alexandria: crystalline CeNiO3 at its relaxed geometry (PBE+U).

Summary:
The total DFT energy (no corrections) is -7.10 eV per atom.

a = 5.742 Å, b = 7.708 Å, c = 5.346 Å
α = 90.00°, β = 90.00°, γ = 90.00°
Positions (direct):
Ce 0.075 0.250 0.024
Ce 0.425 0.750 0.524
Ce 0.575 0.250 0.476
Ce 0.925 0.750 0.976
Ni 0.000 0.000 0.500
Ni 0.000 0.500 0.500
Ni 0.500 0.000 0.000
Ni 0.500 0.500 0.000
O 0.052 0.750 0.370
O 0.187 0.566 0.818
O 0.187 0.934 0.818
O 0.313 0.066 0.318
O 0.313 0.434 0.318
O 0.448 0.250 0.870
O 0.552 0.750 0.130
O 0.687 0.566 0.682
O 0.687 0.934 0.682
O 0.813 0.066 0.182
O 0.813 0.434 0.182
O 0.948 0.250 0.630